A relaxed MgAlMo2 crystal, computed with PBE-GGA.

Values from the calculation:
The offset from the most stable computed form comes out at 623 meV/atom. The value obtained for the density of states at the Fermi level is 2.64 states/eV/f.u. Its total energy is -48.96 eV/cell. Its space group is I-42d. Its formation energy is 0.63 eV per atom.

a b c (Å): 7.156 7.156 5.728
angles (deg): 51.34 51.34 90.00
Element x y z (fractional)
Mg 0.500 0.500 0.000
Mg 0.250 0.750 0.500
Mo 0.641 0.125 0.250
Mo 0.109 0.625 0.250
Mo 0.375 0.359 0.750
Mo 0.875 0.891 0.750
Al 0.000 0.000 0.000
Al 0.750 0.250 0.500